Compound: SiAsIr2
Source: Alexandria
Functional: PBE
Structure: relaxed

Cell lengths 4.3581, 4.3581, 4.3581 Å; angles 60.00, 60.00, 60.00 degrees
Last column: nearest neighbours and their distance in Å.
Positions (direct):
Si 0.0000 0.0000 0.0000  8 Ir 2.67
As 0.5000 0.5000 0.5000  8 Ir 2.67
Ir 0.2500 0.2500 0.2500  4 As 2.67, 4 Si 2.67
Ir 0.7500 0.7500 0.7500  4 As 2.67, 4 Si 2.67

**VASP energy**: -27.51 eV per formula unit
**V**: 58.53 Å³/cell
**Uncorrected formation energy**: 6.8 kJ per mole of atoms
**DOS at the Fermi energy**: 4.3 states/eV/f.u.